Density functional theory data (PBE) for an optimized crystal structure of Zr3HPb.

Total magnetization in μB per formula unit: 0.00
E in eV per cell: -68.0
Theoretical density in g/cm3: 8.387
Space-group type: P1
Relative energy among the computed polymorphs in meV/atom: 30
Calculated volume in A^3/atom: 19.082

a = 5.1443 Å, b = 5.9619 Å, c = 6.3132 Å
α = 80.24°, β = 90.40°, γ = 89.91°
Closest atoms and distances in Å follow each position.
Fractional positions:
Pb (0.9228, 0.1926, 0.2783)  3 H 3.00-3.35, 9 Zr 3.05-3.31
Pb (0.4068, 0.9146, 0.7923)  11 Zr 3.04-3.34, 1 H 3.09
Zr (0.9128, 0.6986, 0.0876)  2 H 2.07-2.12
Zr (0.4263, 0.9116, 0.2817)  1 H 2.02
Zr (0.9014, 0.7049, 0.5956)  2 H 2.03-2.06
Zr (0.9117, 0.1981, 0.7878)  1 H 2.08
Zr (0.4131, 0.4088, 0.9743)  1 H 2.05
Zr (0.4222, 0.3974, 0.4664)  1 H 2.09
H (0.7804, 0.5022, 0.8687)  4 Zr 2.03-2.08
H (0.1618, 0.6618, 0.3602)  4 Zr 2.02-2.12